Li4MnFe5O12: relaxed, PBE+U.

Output
* theoretical density: 4.36 g/cm3
* distance to the lowest polymorph of the same formula: 0.067 eV/atom
* spin magnetization: 9.00 μB/f.u.

Cell: 4.9391 8.6229 10.0216 Å, 90.00 98.86 90.00°
Space group C2/m (No. 12)
Asymmetric unit:
Li (0.0810, 0.1656, 0.2547)
Mn (0.0000, 0.5000, 0.0000)
Fe (0.0000, 0.0000, 0.5000)
Fe (0.0000, 0.1663, 0.0000)
Fe (0.0000, 0.3348, 0.5000)
O (0.1321, 0.0000, 0.8944)
O (0.1326, 0.3337, 0.8943)
O (0.1928, 0.1691, 0.6038)
O (0.2154, 0.5000, 0.6051)